Record 1
Rb3Sb2Br8 | PBE-GGA | optimized geometry

Cell: 8.5617 8.5617 10.2618 Å, 65.34 65.34 60.00°
Closest atoms and distances in Å follow each position.
Fractional positions:
Br (0.3341, 0.3341, 0.9978)  1 Sb 2.82
Br (0.7449, 0.7449, 0.3204)  1 Sb 2.74
Br (0.7449, 0.1897, 0.3204)  1 Sb 2.74
Br (0.8103, 0.2551, 0.6796)  1 Sb 2.74
Br (0.2551, 0.2551, 0.6796)  1 Sb 2.74
Br (0.1897, 0.7449, 0.3204)  1 Sb 2.74
Br (0.6659, 0.6659, 0.0022)  1 Sb 2.82
Br (0.2551, 0.8103, 0.6796)  1 Sb 2.74
Sb (0.4386, 0.4386, 0.6841)  4 Br 2.74-2.82
Sb (0.5614, 0.5614, 0.3159)  4 Br 2.74-2.82
Rb (0.2108, 0.2108, 0.3676)  4 Br 3.33-3.56
Rb (0.0000, 0.0000, 0.0000)  6 Br 3.62
Rb (0.7892, 0.7892, 0.6324)  4 Br 3.33-3.56

Results
Calculated total energy in eV per atom: -2.90
Space group: R-3m, No. 166
E_form (uncorrected) in eV per atom: -1.015
Total moment in μB per cell: 1.008
Crystal system: trigonal

---

Record 2
Tl2TcPbO6 | PBE-GGA | optimized geometry

Cell: 6.1479 6.3693 6.3693 Å, 120.00 90.00 90.00°
Closest atoms and distances in Å follow each position.
Fractional positions:
O (0.1878, 0.8609, 0.1391)  1 Tc 1.92
O (0.8122, 0.7218, 0.8609)  1 Tc 1.92
O (0.1878, 0.8609, 0.7218)  1 Tc 1.92
O (0.1878, 0.2782, 0.1391)  1 Tc 1.92
O (0.8122, 0.1391, 0.2782)  1 Tc 1.92
O (0.8122, 0.1391, 0.8609)  1 Tc 1.92
Tl (0.0047, 0.3333, 0.6667)  3 O 2.45
Tl (0.9953, 0.6667, 0.3333)  3 O 2.45
Tc (0.0000, 0.0000, 0.0000)  6 O 1.92
Pb (0.5000, 0.0000, 0.0000)  6 O 2.46

Results
Calculated total energy in eV per atom: -5.75
Space group: P-3m1, No. 164
E_form (uncorrected) in eV per atom: -0.899
Total moment in μB per cell: 0.000
Crystal system: trigonal

---

Record 3
TcNi6Pt | PBE-GGA | optimized geometry

Cell: 6.2764 6.2764 10.2962 Å, 90.00 90.00 109.54°
Closest atoms and distances in Å follow each position.
Fractional positions:
Ni (0.6195, 0.8726, 0.6280)  8 Ni 2.50-2.60, 3 Tc 2.51-2.59, 1 Pt 2.61
Ni (0.8685, 0.6212, 0.1218)  1 Tc 2.49, 8 Ni 2.53-2.64, 3 Pt 2.57-2.60
Ni (0.8726, 0.6195, 0.6280)  8 Ni 2.50-2.60, 3 Tc 2.51-2.59, 1 Pt 2.61
Ni (0.2537, 0.7463, 0.5061)  8 Ni 2.50-2.63, 2 Tc 2.51-2.53, 2 Pt 2.60-2.64
Ni (0.1315, 0.3788, 0.3782)  1 Tc 2.49, 8 Ni 2.53-2.64, 3 Pt 2.57-2.60
Ni (0.6212, 0.8685, 0.3782)  1 Tc 2.49, 8 Ni 2.53-2.64, 3 Pt 2.57-2.60
Ni (0.1315, 0.3788, 0.1218)  1 Tc 2.49, 8 Ni 2.53-2.64, 3 Pt 2.57-2.60
Ni (0.8685, 0.6212, 0.3782)  1 Tc 2.49, 8 Ni 2.53-2.64, 3 Pt 2.57-2.60
Ni (0.5000, 0.5000, 0.2500)  2 Tc 2.53, 8 Ni 2.55, 2 Pt 2.58
Ni (0.8726, 0.6195, 0.8720)  8 Ni 2.50-2.60, 3 Tc 2.51-2.59, 1 Pt 2.61
Ni (0.7463, 0.2537, 0.5061)  8 Ni 2.50-2.63, 2 Tc 2.51-2.53, 2 Pt 2.60-2.64
Ni (0.1274, 0.3805, 0.8720)  8 Ni 2.50-2.60, 3 Tc 2.51-2.59, 1 Pt 2.61
Ni (0.0000, 0.0000, 0.7500)  2 Pt 2.57, 8 Ni 2.58, 2 Tc 2.58
Ni (0.7463, 0.2537, 0.9939)  8 Ni 2.50-2.63, 2 Tc 2.51-2.53, 2 Pt 2.60-2.64
Ni (0.6212, 0.8685, 0.1218)  1 Tc 2.49, 8 Ni 2.53-2.64, 3 Pt 2.57-2.60
Ni (0.3788, 0.1315, 0.3782)  1 Tc 2.49, 8 Ni 2.53-2.64, 3 Pt 2.57-2.60
Ni (0.2537, 0.7463, 0.9939)  8 Ni 2.50-2.63, 2 Tc 2.51-2.53, 2 Pt 2.60-2.64
Ni (0.1274, 0.3805, 0.6280)  8 Ni 2.50-2.60, 3 Tc 2.51-2.59, 1 Pt 2.61
Ni (0.0000, 0.0000, 0.2500)  4 Pt 2.54-2.58, 8 Ni 2.60
Ni (0.3788, 0.1315, 0.1218)  1 Tc 2.49, 8 Ni 2.53-2.64, 3 Pt 2.57-2.60
Ni (0.3805, 0.1274, 0.8720)  8 Ni 2.50-2.60, 3 Tc 2.51-2.59, 1 Pt 2.61
Ni (0.5000, 0.5000, 0.7500)  8 Ni 2.54, 4 Tc 2.54-2.62
Ni (0.6195, 0.8726, 0.8720)  8 Ni 2.50-2.60, 3 Tc 2.51-2.59, 1 Pt 2.61
Ni (0.3805, 0.1274, 0.6280)  8 Ni 2.50-2.60, 3 Tc 2.51-2.59, 1 Pt 2.61
Pt (0.7521, 0.2479, 0.2500)  12 Ni 2.54-2.64
Pt (0.2479, 0.7521, 0.2500)  12 Ni 2.54-2.64
Pt (0.0000, 0.0000, 0.5002)  12 Ni 2.57-2.61
Pt (0.0000, 0.0000, 0.9998)  12 Ni 2.57-2.61
Tc (0.7480, 0.2520, 0.7500)  12 Ni 2.51-2.58
Tc (0.5000, 0.5000, 0.0046)  12 Ni 2.49-2.62
Tc (0.2520, 0.7480, 0.7500)  12 Ni 2.51-2.58
Tc (0.5000, 0.5000, 0.4954)  12 Ni 2.49-2.62

Results
Calculated formation energy in kJ/mol of atoms: 0.94
Excess energy over the best structure of this formula in the dataset in meV/atom: 24.7
Calculated total energy in eV per atom: -6.38
Space group: Cmmm, No. 65
Total moment in μB per cell: 0.180
Crystal system: orthorhombic

---

Record 4
Re3Pb | PBE-GGA | optimized geometry

Cell: 3.8497 2.8885 6.9470 Å, 73.71 90.00 90.00°
Closest atoms and distances in Å follow each position.
Fractional positions:
Re (0.5000, 0.1237, 0.3141)  5 Re 2.48-2.71
Re (0.5000, 0.8763, 0.6859)  5 Re 2.48-2.71
Re (0.0000, 0.5000, 0.5000)  10 Re 2.70-2.89
Pb (0.0000, 0.0000, 0.0000)  2 Pb 2.89, 4 Re 3.01

Results
Calculated formation energy in kJ/mol of atoms: 70.85
Excess energy over the best structure of this formula in the dataset in meV/atom: 104.7
Calculated total energy in eV per atom: -9.53
Space group: P2/m, No. 10
Total moment in μB per cell: 0.000
Crystal system: monoclinic